# YTaTe2N PBE relaxed
# - Relative energy among the computed polymorphs: 0 meV/atom
# - Crystal system: tetragonal
# - Density of states at the Fermi level: 2.78 states/eV/f.u.
# - Mass density: 7.3 g cm⁻³
# - Total magnetization: 0.0 μB/cell
# - E_form (uncorrected): -0.4456 eV per atom
data_YTaTe2N
_symmetry_space_group_name_H-M 'P 4/m m m'
_symmetry_Int_Tables_number 123
_symmetry_space_group_name_Hall '-P 4 2'
_cell_length_a 5.585
_cell_length_b 5.585
_cell_length_c 3.931
_cell_angle_alpha 90.00
_cell_angle_beta 90.00
_cell_angle_gamma 90.00
loop_
_atom_site_label
_atom_site_fract_x
_atom_site_fract_y
_atom_site_fract_z
_atom_site_occupancy
Y1 0.000 0.000 0.000 1
Ta1 0.500 0.500 0.500 1
Te1 0.000 0.500 0.500 1
N1 0.500 0.500 0.000 1

---

# TaZnTeN2 PBE relaxed
# - Relative energy among the computed polymorphs: 0 meV/atom
# - Crystal system: tetragonal
# - Density of states at the Fermi level: 2.30 states/eV/f.u.
# - Mass density: 7.0 g cm⁻³
# - Total magnetization: 0.7 μB/cell
# - E_form (uncorrected): 0.1831 eV per atom
data_TaZnTeN2
_symmetry_space_group_name_H-M 'P 4/m m m'
_symmetry_Int_Tables_number 123
_symmetry_space_group_name_Hall '-P 4 2'
_cell_length_a 4.010
_cell_length_b 4.010
_cell_length_c 5.915
_cell_angle_alpha 90.00
_cell_angle_beta 90.00
_cell_angle_gamma 90.00
loop_
_atom_site_label
_atom_site_fract_x
_atom_site_fract_y
_atom_site_fract_z
_atom_site_occupancy
Ta1 0.000 0.000 0.000 1
Zn1 0.500 0.500 0.500 1
Te1 0.000 0.000 0.500 1
N1 0.000 0.500 0.000 1

---

# TaZnTeN2 PBE relaxed
# - Relative energy among the computed polymorphs: 1558 meV/atom
# - Crystal system: tetragonal
# - Density of states at the Fermi level: 4.87 states/eV/f.u.
# - Mass density: 8.3 g cm⁻³
# - Total magnetization: 0.0 μB/cell
# - E_form (uncorrected): 1.7413 eV per atom
data_TaZnTeN2
_symmetry_space_group_name_H-M 'P 4/m m m'
_symmetry_Int_Tables_number 123
_symmetry_space_group_name_Hall '-P 4 2'
_cell_length_a 3.958
_cell_length_b 3.958
_cell_length_c 5.161
_cell_angle_alpha 90.00
_cell_angle_beta 90.00
_cell_angle_gamma 90.00
loop_
_atom_site_label
_atom_site_fract_x
_atom_site_fract_y
_atom_site_fract_z
_atom_site_occupancy
Ta1 0.000 0.000 0.000 1
Zn1 0.500 0.500 0.500 1
Te1 0.500 0.500 0.000 1
N1 0.000 0.500 0.500 1

---

Copy entry 3 word for word.
# TaZnTeN2 PBE relaxed
# - Relative energy among the computed polymorphs: 1558 meV/atom
# - Crystal system: tetragonal
# - Density of states at the Fermi level: 4.87 states/eV/f.u.
# - Mass density: 8.3 g cm⁻³
# - Total magnetization: 0.0 μB/cell
# - E_form (uncorrected): 1.7413 eV per atom
data_TaZnTeN2
_symmetry_space_group_name_H-M 'P 4/m m m'
_symmetry_Int_Tables_number 123
_symmetry_space_group_name_Hall '-P 4 2'
_cell_length_a 3.958
_cell_length_b 3.958
_cell_length_c 5.161
_cell_angle_alpha 90.00
_cell_angle_beta 90.00
_cell_angle_gamma 90.00
loop_
_atom_site_label
_atom_site_fract_x
_atom_site_fract_y
_atom_site_fract_z
_atom_site_occupancy
Ta1 0.000 0.000 0.000 1
Zn1 0.500 0.500 0.500 1
Te1 0.500 0.500 0.000 1
N1 0.000 0.500 0.500 1

---

- Which formula does entry 2 have?
  TaZnTeN2

---

- What is the formula in the second record?
  TaZnTeN2

---

Please write out number 3 again, unchanged.
# TaZnTeN2 PBE relaxed
# - Relative energy among the computed polymorphs: 1558 meV/atom
# - Crystal system: tetragonal
# - Density of states at the Fermi level: 4.87 states/eV/f.u.
# - Mass density: 8.3 g cm⁻³
# - Total magnetization: 0.0 μB/cell
# - E_form (uncorrected): 1.7413 eV per atom
data_TaZnTeN2
_symmetry_space_group_name_H-M 'P 4/m m m'
_symmetry_Int_Tables_number 123
_symmetry_space_group_name_Hall '-P 4 2'
_cell_length_a 3.958
_cell_length_b 3.958
_cell_length_c 5.161
_cell_angle_alpha 90.00
_cell_angle_beta 90.00
_cell_angle_gamma 90.00
loop_
_atom_site_label
_atom_site_fract_x
_atom_site_fract_y
_atom_site_fract_z
_atom_site_occupancy
Ta1 0.000 0.000 0.000 1
Zn1 0.500 0.500 0.500 1
Te1 0.500 0.500 0.000 1
N1 0.000 0.500 0.500 1